Entry 1:
LiFeIr | PBEsol | optimized geometry

Results
ΔH_f (0 K): 0.074 eV/atom

```
3
Lattice="2.633 0.000 0.000 -1.316 2.280 0.000 0.000 0.000 6.561" Properties=species:S:1:pos:R:3 pbc="T T T"
Li 0.000 0.000 0.000
Fe 0.000 1.520 4.290
Ir 1.316 0.760 2.238
```



Entry 2:
ZnGaC3 | PBEsol | optimized geometry

Results
ΔH_f (0 K): 2.715 eV/atom

```
5
Lattice="3.955 0.000 0.000 0.000 3.955 0.000 0.000 0.000 3.955" Properties=species:S:1:pos:R:3 pbc="T T T"
Zn 0.000 0.000 0.000
Ga 1.977 1.977 1.977
C 0.000 1.977 1.977
C 1.977 0.000 1.977
C 1.977 1.977 0.000
```



Entry 3:
BaZnBr2 | PBEsol | optimized geometry

Results
ΔE_f (raw): -1.302 eV per atom

```
4
Lattice="0.000 3.897 3.897 3.897 0.000 3.897 3.897 3.897 0.000" Properties=species:S:1:pos:R:3 pbc="T T T"
Ba 0.000 0.000 0.000
Zn 3.897 3.897 3.897
Br 1.948 1.948 1.948
Br 5.845 5.845 5.845
```



Entry 4:
MgPb3 | PBEsol | optimized geometry

Results
ΔH_f (0 K): 0.002 eV/atom

```
4
Lattice="-1.726 5.577 2.892 1.726 -5.577 2.892 1.726 5.577 -2.892" Properties=species:S:1:pos:R:3 pbc="T T T"
Mg 0.000 0.000 0.000
Pb 1.726 2.610 0.449
Pb 0.000 5.577 0.100
Pb 0.000 2.966 3.341
```



Entry 5:
KC3 | PBEsol | optimized geometry

Results
ΔH_f (0 K): 3.844 eV/atom

```
4
Lattice="0.000 2.841 2.841 2.841 0.000 2.841 2.841 2.841 0.000" Properties=species:S:1:pos:R:3 pbc="T T T"
K 0.000 0.000 0.000
C 1.421 1.421 1.421
C 2.841 2.841 2.841
C 4.262 4.262 4.262
```



Entry 6:
AlMoIr2 | PBEsol | optimized geometry

Results
ΔH_f (0 K): -0.628 eV/atom

```
4
Lattice="2.818 0.000 0.000 0.000 2.818 0.000 0.000 0.000 7.030" Properties=species:S:1:pos:R:3 pbc="T T T"
Al 0.000 0.000 0.000
Mo 0.000 0.000 3.515
Ir 1.409 1.409 1.653
Ir 1.409 1.409 5.376
```



Entry 7:
Ba2ScZn2 | PBEsol | optimized geometry

Results
ΔH_f (0 K): 0.260 eV/atom

```
5
Lattice="-1.871 1.871 11.178 1.871 -1.871 11.178 1.871 1.871 -11.178" Properties=species:S:1:pos:R:3 pbc="T T T"
Ba 0.000 0.000 2.727
Ba 0.000 0.000 19.628
Sc 0.000 0.000 11.178
Zn 1.871 0.000 5.589
Zn 0.000 1.871 5.589
```



Entry 8:
BaSb2Br | PBEsol | optimized geometry

Results
ΔE_f (raw): -0.292 eV per atom

```
4
Lattice="5.894 0.000 0.000 0.000 5.894 0.000 0.000 0.000 3.613" Properties=species:S:1:pos:R:3 pbc="T T T"
Ba 0.000 0.000 0.000
Sb 0.000 2.947 1.806
Sb 2.947 0.000 1.806
Br 2.947 2.947 0.000
```



Entry 9:
CdAg2Hg | PBEsol | optimized geometry

Results
ΔH_f (0 K): -0.019 eV/atom

```
4
Lattice="4.951 -1.492 0.000 4.951 1.492 0.000 -0.992 0.000 4.970" Properties=species:S:1:pos:R:3 pbc="T T T"
Cd 0.000 0.000 0.000
Ag 1.730 0.000 3.798
Ag 4.509 0.000 2.553
Hg 7.211 0.000 1.358
```



Entry 10:
K3Li | PBEsol | optimized geometry

Results
ΔH_f (0 K): 0.083 eV/atom

```
4
Lattice="4.540 0.000 0.000 0.000 4.540 0.000 0.000 0.000 11.124" Properties=species:S:1:pos:R:3 pbc="T T T"
K 0.000 0.000 0.000
K 2.270 2.270 3.354
K 2.270 2.270 7.770
Li 0.000 0.000 5.562
```



Entry 11:
SrTa2Br | PBEsol | optimized geometry

Results
ΔE_f (raw): 0.064 eV per atom

```
4
Lattice="3.447 0.000 0.000 0.000 1.764 7.925 0.000 -1.764 7.925" Properties=species:S:1:pos:R:3 pbc="T T T"
Sr 0.000 0.000 0.000
Ta 0.000 0.000 12.342
Ta 1.723 0.000 5.525
Br 1.723 0.000 9.968
```



Entry 12:
Li2FeAu | PBEsol | optimized geometry

Results
ΔH_f (0 K): 0.023 eV/atom

```
4
Lattice="2.624 0.000 0.000 0.000 4.064 0.000 0.000 0.000 5.345" Properties=species:S:1:pos:R:3 pbc="T T T"
Li 0.000 0.000 0.000
Li 1.312 2.032 1.328
Fe 1.312 2.032 3.879
Au 0.000 0.000 2.735
```



Entry 13:
Zr3As | PBEsol | optimized geometry

Results
ΔH_f (0 K): -0.392 eV/atom

```
4
Lattice="3.390 0.000 0.000 -1.695 2.936 0.000 0.000 0.000 8.661" Properties=species:S:1:pos:R:3 pbc="T T T"
Zr 0.000 0.000 0.000
Zr 0.000 1.957 2.467
Zr 0.000 1.957 6.194
As 0.000 0.000 4.331
```



Entry 14:
BeTl2Os | PBEsol | optimized geometry

Results
ΔH_f (0 K): 0.912 eV/atom

```
4
Lattice="3.468 0.000 0.000 0.000 3.468 0.000 0.000 0.000 5.740" Properties=species:S:1:pos:R:3 pbc="T T T"
Be 0.000 0.000 0.000
Tl 1.734 1.734 1.395
Tl 1.734 1.734 4.345
Os 0.000 0.000 2.870
```



Entry 15:
SiSbS2N | PBEsol | optimized geometry

Results
ΔE_f (raw): 0.892 eV per atom

```
5
Lattice="4.999 0.000 0.000 0.000 4.999 0.000 0.000 0.000 3.844" Properties=species:S:1:pos:R:3 pbc="T T T"
Si 0.000 0.000 0.000
Sb 2.499 2.499 1.922
S 0.000 2.499 1.922
S 2.499 0.000 1.922
N 2.499 2.499 0.000
```



Entry 16:
CaMg14CdO16 | PBEsol | optimized geometry

Results
ΔE_f (raw): -2.592 eV per atom

```
32
Lattice="4.325 0.000 0.000 0.000 8.590 0.000 0.000 0.000 8.630" Properties=species:S:1:pos:R:3 pbc="T T T"
Ca 0.000 0.000 0.000
Mg 0.000 2.197 2.168
Mg 0.000 2.197 6.463
Mg 0.000 4.295 0.000
Mg 0.000 4.295 4.315
Mg 0.000 6.392 2.168
Mg 0.000 6.392 6.463
Mg 2.163 0.000 2.167
Mg 2.163 0.000 6.463
Mg 2.163 2.192 4.315
Mg 2.163 2.198 0.000
Mg 2.163 4.295 2.160
Mg 2.163 4.295 6.470
Mg 2.163 6.392 0.000
Mg 2.163 6.397 4.315
Cd 0.000 0.000 4.315
O 0.000 0.000 2.152
O 0.000 0.000 6.478
O 0.000 2.269 0.000
O 0.000 2.295 4.315
O 0.000 4.295 2.155
O 0.000 4.295 6.475
O 0.000 6.294 4.315
O 0.000 6.321 0.000
O 2.163 0.000 0.000
O 2.163 0.000 4.315
O 2.163 2.145 2.162
O 2.163 2.145 6.468
O 2.163 4.295 0.000
O 2.163 4.295 4.315
O 2.163 6.444 2.162
O 2.163 6.444 6.468
```



Entry 17:
YSb2 | PBEsol | optimized geometry

Results
ΔE_f (raw): -0.737 eV per atom

```
6
Lattice="-3.171 3.171 4.146 3.171 -3.171 4.146 3.171 3.171 -4.146" Properties=species:S:1:pos:R:3 pbc="T T T"
Y 0.000 0.000 2.073
Y 0.000 0.000 6.219
Sb 4.207 1.036 0.000
Sb 1.036 2.135 0.000
Sb 2.135 1.036 4.146
Sb -1.036 2.135 4.146
```



Entry 18:
NdCd3 | PBEsol | optimized geometry

Results
ΔH_f (0 K): -0.330 eV/atom

```
8
Lattice="6.666 0.000 0.000 -3.333 5.773 0.000 0.000 0.000 4.897" Properties=species:S:1:pos:R:3 pbc="T T T"
Nd 0.000 3.849 1.224
Nd 3.333 1.924 3.673
Cd 0.000 1.827 3.673
Cd -1.751 4.860 3.673
Cd 1.582 0.913 1.224
Cd 1.751 4.860 3.673
Cd 5.084 0.913 1.224
Cd 3.333 3.946 1.224
```



Entry 19:
Co4ReMo | PBEsol | optimized geometry

Results
ΔH_f (0 K): -0.010 eV/atom

```
6
Lattice="0.000 3.247 3.247 3.247 0.000 3.247 3.247 3.247 0.000" Properties=species:S:1:pos:R:3 pbc="T T T"
Co 0.810 0.810 0.810
Co 2.437 2.437 0.810
Co 2.437 0.810 2.437
Co 0.810 2.437 2.437
Re 4.870 4.870 4.870
Mo 3.247 3.247 3.247
```



Entry 20:
ReRh2Se | PBEsol | optimized geometry

Results
ΔE_f (raw): 0.051 eV per atom

```
4
Lattice="1.399 0.807 8.489 -1.399 0.807 8.489 0.000 -1.615 8.489" Properties=species:S:1:pos:R:3 pbc="T T T"
Re 0.000 0.000 0.000
Rh 0.000 0.000 6.345
Rh 0.000 0.000 19.121
Se 0.000 0.000 12.733
```



Entry 21:
SrTeW2 | PBEsol | optimized geometry

Results
ΔE_f (raw): 0.804 eV per atom

```
4
Lattice="-1.678 2.701 4.992 1.678 -2.701 4.992 1.678 2.701 -4.992" Properties=species:S:1:pos:R:3 pbc="T T T"
Sr 0.000 0.000 0.000
Te 1.678 0.000 2.828
W 0.000 0.000 5.251
W 0.000 2.701 2.065
```



Entry 22:
BeCoP2O | PBEsol | optimized geometry

Results
ΔE_f (raw): 0.083 eV per atom

```
5
Lattice="4.606 0.000 0.000 0.000 4.606 0.000 0.000 0.000 2.822" Properties=species:S:1:pos:R:3 pbc="T T T"
Be 0.000 0.000 0.000
Co 2.303 2.303 1.411
P 0.000 2.303 0.000
P 2.303 0.000 0.000
O 0.000 0.000 1.411
```



Entry 23:
TeAuNF2 | PBEsol | optimized geometry

Results
ΔE_f (raw): 0.333 eV per atom

```
5
Lattice="4.479 0.000 0.000 0.000 4.479 0.000 0.000 0.000 3.826" Properties=species:S:1:pos:R:3 pbc="T T T"
Te 0.000 0.000 0.000
Au 2.240 2.240 1.913
N 2.240 2.240 0.000
F 0.000 2.240 1.913
F 2.240 0.000 1.913
```



Entry 24:
PdRuNF2 | PBEsol | optimized geometry

Results
ΔE_f (raw): 0.607 eV per atom

```
5
Lattice="4.273 0.000 0.000 0.000 4.273 0.000 0.000 0.000 3.667" Properties=species:S:1:pos:R:3 pbc="T T T"
Pd 0.000 0.000 0.000
Ru 2.136 2.136 1.834
N 0.000 0.000 1.834
F 0.000 2.136 0.000
F 2.136 0.000 0.000
```



Entry 25:
Li2YPb2 | PBEsol | optimized geometry

Results
ΔH_f (0 K): -0.378 eV/atom

```
10
Lattice="8.181 0.000 0.000 0.000 8.181 0.000 0.000 0.000 3.299" Properties=species:S:1:pos:R:3 pbc="T T T"
Li 0.936 3.155 0.000
Li 3.155 7.245 0.000
Li 5.026 0.936 0.000
Li 7.245 5.026 0.000
Y 0.000 0.000 0.000
Y 4.091 4.091 0.000
Pb 1.476 5.566 1.649
Pb 2.615 1.476 1.649
Pb 5.566 6.705 1.649
Pb 6.705 2.615 1.649
```



Entry 26:
Li5Mn3Sn2O10 | PBEsol | optimized geometry

Results
ΔE_f (raw): -1.726 eV per atom

```
20
Lattice="5.234 0.000 0.000 -1.058 5.180 0.000 -1.597 -2.751 7.333" Properties=species:S:1:pos:R:3 pbc="T T T"
Li 0.000 0.000 0.000
Li -0.852 -0.881 5.256
Li 0.629 2.802 0.725
Li 1.950 -0.374 6.608
Li 3.430 3.310 2.078
Mn -0.044 0.934 2.885
Mn 1.818 -1.376 3.667
Mn 2.622 1.494 4.449
Sn -0.036 1.904 5.903
Sn 2.614 0.525 1.431
O -1.724 0.799 6.176
O -0.866 2.655 4.101
O 1.014 -0.720 1.972
O 0.144 -1.688 6.976
O 0.854 0.380 4.779
O 1.724 2.048 2.554
O 2.434 4.117 0.358
O 1.565 3.149 5.362
O 3.444 -0.226 3.232
O 4.302 1.630 1.157
```



Entry 27:
Li2BeNi | PBEsol | optimized geometry

Results
ΔH_f (0 K): 0.095 eV/atom

```
4
Lattice="-1.282 2.135 4.173 1.282 -2.135 4.173 1.282 2.135 -4.173" Properties=species:S:1:pos:R:3 pbc="T T T"
Li 0.000 0.000 0.000
Li 0.000 2.135 1.871
Be 0.000 0.000 3.872
Ni 1.282 0.000 2.206
```



Number 1: ρ 10751 kg/m³, E_tot -6.84 eV per atom, total moment 2.60 Bohr magnetons per cell. Number 2: ρ 4595 kg/m³, E_tot -4.06 eV per atom, total moment 0.00 Bohr magnetons per cell. Number 3: ρ 5087 kg/m³, E_tot -3.17 eV per atom, total moment 0.00 Bohr magnetons per cell. Number 4: ρ 9633 kg/m³, E_tot -3.43 eV per atom, total moment 0.00 Bohr magnetons per cell. Number 5: ρ 2719 kg/m³, E_tot -3.67 eV per atom, total moment 0.00 Bohr magnetons per cell. Number 6: ρ 15096 kg/m³, E_tot -9.50 eV per atom, total moment 0.00 Bohr magnetons per cell. Number 7: ρ 4779 kg/m³, E_tot -2.55 eV per atom, total moment 1.75 Bohr magnetons per cell. Number 8: ρ 6097 kg/m³, E_tot -3.58 eV per atom, total moment 0.00 Bohr magnetons per cell. Number 9: ρ 11959 kg/m³, E_tot -2.12 eV per atom, total moment 0.00 Bohr magnetons per cell. Number 10: ρ 900 kg/m³, E_tot -1.26 eV per atom, total moment 0.00 Bohr magnetons per cell. Number 11: ρ 9121 kg/m³, E_tot -7.14 eV per atom, total moment 0.00 Bohr magnetons per cell. Number 12: ρ 7769 kg/m³, E_tot -4.18 eV per atom, total moment 2.63 Bohr magnetons per cell. Number 13: ρ 6716 kg/m³, E_tot -8.49 eV per atom, total moment 0.00 Bohr magnetons per cell. Number 14: ρ 14623 kg/m³, E_tot -4.46 eV per atom, total moment 0.00 Bohr magnetons per cell. Number 15: ρ 3942 kg/m³, E_tot -4.63 eV per atom, total moment 0.00 Bohr magnetons per cell. Number 16: ρ 3878 kg/m³, E_tot -6.07 eV per atom, total moment 0.00 Bohr magnetons per cell. Number 17: ρ 6620 kg/m³, E_tot -6.05 eV per atom, total moment 0.00 Bohr magnetons per cell. Number 18: ρ 8485 kg/m³, E_tot -2.52 eV per atom, total moment 0.00 Bohr magnetons per cell. Number 19: ρ 12562 kg/m³, E_tot -9.35 eV per atom, total moment 2.67 Bohr magnetons per cell. Number 20: ρ 13598 kg/m³, E_tot -8.31 eV per atom, total moment 0.00 Bohr magnetons per cell. Number 21: ρ 10697 kg/m³, E_tot -7.44 eV per atom, total moment 0.00 Bohr magnetons per cell. Number 22: ρ 4047 kg/m³, E_tot -5.63 eV per atom, total moment 1.55 Bohr magnetons per cell. Number 23: ρ 8147 kg/m³, E_tot -3.63 eV per atom, total moment 0.00 Bohr magnetons per cell. Number 24: ρ 6436 kg/m³, E_tot -5.10 eV per atom, total moment 3.32 Bohr magnetons per cell. Number 25: ρ 7780 kg/m³, E_tot -4.13 eV per atom, total moment 0.70 Bohr magnetons per cell. Number 26: ρ 4986 kg/m³, E_tot -6.73 eV per atom, total moment 14.01 Bohr magnetons per cell. Number 27: ρ 2967 kg/m³, E_tot -3.43 eV per atom, total moment 0.00 Bohr magnetons per cell.